Entry 1:
YSb2PI: optimized geometry, GGA-PBE.

Calculated values
Raw formation energy: 0.14 eV per atom
Energy: -21.0 eV for the cell shown
Volume: 146.6 Å³/cell
SG: P4/mmm (123)

```
data_YSb2PI
_space_group_name_H-M_alt 'P 1'
_space_group_IT_number 1
_cell_length_a 5.2683
_cell_length_b 5.2683
_cell_length_c 5.2819
_cell_angle_alpha 90.00
_cell_angle_beta 90.00
_cell_angle_gamma 90.00
loop_
_space_group_symop_operation_xyz
'x,y,z'
loop_
_atom_site_label
_atom_site_type_symbol
_atom_site_fract_x
_atom_site_fract_y
_atom_site_fract_z
_atom_site_occupancy
I1 I 0.0000 0.0000 0.5000 1
Sb1 Sb 0.0000 0.5000 0.0000 1
Sb2 Sb 0.5000 0.0000 0.0000 1
Y1 Y 0.5000 0.5000 0.5000 1
P1 P 0.0000 0.0000 0.0000 1
```

***

Entry 2:
TaAsPt2: optimized geometry, GGA-PBE.

Calculated values
Energy: -29.1 eV for the cell shown
Volume: 66.2 Å³/cell
SG: R3m (160)
E_form: -136 meV/atom

```
data_TaAsPt2
_space_group_name_H-M_alt 'P 1'
_space_group_IT_number 1
_cell_length_a 9.0358
_cell_length_b 9.0358
_cell_length_c 9.0358
_cell_angle_alpha 18.70
_cell_angle_beta 18.70
_cell_angle_gamma 18.70
loop_
_space_group_symop_operation_xyz
'x,y,z'
loop_
_atom_site_label
_atom_site_type_symbol
_atom_site_fract_x
_atom_site_fract_y
_atom_site_fract_z
_atom_site_occupancy
As1 As 0.2505 0.2505 0.2505 1
Pt1 Pt 0.9971 0.9971 0.9971 1
Pt2 Pt 0.7519 0.7519 0.7519 1
Ta1 Ta 0.5005 0.5005 0.5005 1
```

***

Entry 3:
Zr8HN2: optimized geometry, GGA-PBE.

Calculated values
Energy: -96.0 eV for the cell shown
Volume: 194.7 Å³/cell
SG: C2/m (12)

```
data_Zr8HN2
_space_group_name_H-M_alt 'P 1'
_space_group_IT_number 1
_cell_length_a 4.7732
_cell_length_b 6.4997
_cell_length_c 6.4997
_cell_angle_alpha 74.97
_cell_angle_beta 89.82
_cell_angle_gamma 89.82
loop_
_space_group_symop_operation_xyz
'x,y,z'
loop_
_atom_site_label
_atom_site_type_symbol
_atom_site_fract_x
_atom_site_fract_y
_atom_site_fract_z
_atom_site_occupancy
Zr1 Zr 0.7469 0.8890 0.3323 1
Zr2 Zr 0.2531 0.6677 0.1110 1
Zr3 Zr 0.7498 0.8287 0.8287 1
Zr4 Zr 0.2502 0.1713 0.1713 1
Zr5 Zr 0.7469 0.3323 0.8890 1
Zr6 Zr 0.2531 0.1110 0.6677 1
Zr7 Zr 0.2489 0.6112 0.6112 1
Zr8 Zr 0.7511 0.3888 0.3888 1
H1 H 0.0000 0.0000 0.0000 1
N1 N 0.7493 0.6139 0.6139 1
N2 N 0.2507 0.3861 0.3861 1
```

***

Entry 4:
HoCuPt: optimized geometry, GGA-PBE.

Calculated values
Energy: -16.8 eV for the cell shown
Volume: 55.6 Å³/cell
SG: I4mm (107)
E_form: -704 meV/atom

```
data_HoCuPt
_space_group_name_H-M_alt 'P 1'
_space_group_IT_number 1
_cell_length_a 3.5837
_cell_length_b 3.5837
_cell_length_c 5.0177
_cell_angle_alpha 110.92
_cell_angle_beta 110.92
_cell_angle_gamma 90.00
loop_
_space_group_symop_operation_xyz
'x,y,z'
loop_
_atom_site_label
_atom_site_type_symbol
_atom_site_fract_x
_atom_site_fract_y
_atom_site_fract_z
_atom_site_occupancy
Pt1 Pt 0.2836 0.2836 0.5671 1
Ho1 Ho 0.9451 0.9451 0.8903 1
Cu1 Cu 0.6213 0.6213 0.2426 1
```

***

Entry 5:
TbNpS2: optimized geometry, GGA-PBE.

Calculated values
Raw formation energy: -1.13 eV per atom
Energy: -30.4 eV for the cell shown
Volume: 114.8 Å³/cell
SG: R-3m (166)

```
data_TbNpS2
_space_group_name_H-M_alt 'P 1'
_space_group_IT_number 1
_cell_length_a 4.0256
_cell_length_b 4.0256
_cell_length_c 8.5022
_cell_angle_alpha 76.31
_cell_angle_beta 76.31
_cell_angle_gamma 60.00
loop_
_space_group_symop_operation_xyz
'x,y,z'
loop_
_atom_site_label
_atom_site_type_symbol
_atom_site_fract_x
_atom_site_fract_y
_atom_site_fract_z
_atom_site_occupancy
Np1 Np 0.5000 0.5000 0.5000 1
S1 S 0.1079 0.1079 0.6763 1
S2 S 0.8921 0.8921 0.3237 1
Tb1 Tb 0.0000 0.0000 0.0000 1
```

***

Entry 6:
Nd2Dy3Ge4: optimized geometry, GGA-PBE.

Calculated values
Energy: -99.3 eV for the cell shown
Volume: 452.2 Å³/cell
SG: P2_1/c (14)
E_form: -873 meV/atom

```
data_Nd2Dy3Ge4
_space_group_name_H-M_alt 'P 1'
_space_group_IT_number 1
_cell_length_a 7.6888
_cell_length_b 7.9863
_cell_length_c 7.8975
_cell_angle_alpha 90.00
_cell_angle_beta 90.00
_cell_angle_gamma 111.17
loop_
_space_group_symop_operation_xyz
'x,y,z'
loop_
_atom_site_label
_atom_site_type_symbol
_atom_site_fract_x
_atom_site_fract_y
_atom_site_fract_z
_atom_site_occupancy
Nd1 Nd 0.5668 0.1965 0.3193 1
Nd2 Nd 0.9332 0.8035 0.8193 1
Nd3 Nd 0.4332 0.8035 0.6807 1
Nd4 Nd 0.0668 0.1965 0.1807 1
Dy1 Dy 0.0000 0.5000 0.5000 1
Dy2 Dy 0.5000 0.5000 0.0000 1
Dy3 Dy 0.7347 0.2404 0.8350 1
Dy4 Dy 0.7653 0.7596 0.3350 1
Dy5 Dy 0.2653 0.7596 0.1650 1
Dy6 Dy 0.2347 0.2404 0.6650 1
Ge1 Ge 0.8348 0.0867 0.5391 1
Ge2 Ge 0.6652 0.9133 0.0391 1
Ge3 Ge 0.1652 0.9133 0.4609 1
Ge4 Ge 0.3348 0.0867 0.9609 1
Ge5 Ge 0.8706 0.4931 0.1297 1
Ge6 Ge 0.6294 0.5069 0.6297 1
Ge7 Ge 0.1294 0.5069 0.8703 1
Ge8 Ge 0.3706 0.4931 0.3703 1
```